A relaxed ZrAl2Zn2 crystal, computed with GGA-PBE.

The calculation puts the total energy at -3.839 eV/atom. The calculation puts the formation energy at -0.12 eV per atom.

The structure belongs to space group P4/mbm (No. 127); the cell edges are 7.536, 7.536 and 2.980 Å and the angles 90.00°, 90.00° and 90.00°. The inequivalent atoms are Zr at (0.000, 0.000, 0.000), Al at (0.129, 0.371, 0.000) and Zn at (0.168, 0.668, 0.500).